An optimized crystal structure of La3TbEr3, computed with PBE-GGA.

The space group is R-3 (No. 148, hexagonal axes) and the conventional cell measures 9.4414, 9.4414 and 18.7337 Å, with angles of 90.00, 90.00 and 120.00 degrees. The distinct sites, in fractional coordinates, are La at (0.0509, 0.8070, 0.0776), Tb at (0.0000, 0.0000, 0.4085) and Er at (0.0507, 0.8157, 0.2608).

For the energy relative to the lowest polymorph listed for this composition, the calculation gives 0.104 eV per atom. The density of states at the Fermi level comes out at 9.78 states/eV/f.u.


An optimized crystal structure of La9Tb2Er, computed with PBE-GGA.

The space group is P4/mmm (No. 123) and the conventional cell measures 5.2143, 5.2143 and 15.6456 Å, with angles of 90.00, 90.00 and 90.00 degrees. The distinct sites, in fractional coordinates, are La at (0.0000, 0.0000, 0.0000), La at (0.0000, 0.0000, 0.3332), La at (0.0000, 0.5000, 0.1661), La at (0.0000, 0.5000, 0.5000), Tb at (0.5000, 0.5000, 0.3328) and Er at (0.5000, 0.5000, 0.0000).

As for the total energy: -4.841 eV per atom. The density of states at the Fermi level comes out at 16.16 states/eV/f.u.


An optimized crystal structure of LaTb6Er4, computed with PBE-GGA.

The space group is I-42m (No. 121) and the conventional cell measures 7.6410, 7.6410 and 13.0854 Å, with angles of 90.00, 90.00 and 90.00 degrees. The distinct sites, in fractional coordinates, are La at (0.0000, 0.0000, 0.0000), Tb at (0.0000, 0.5000, 0.0000), Tb at (0.2453, 0.2453, 0.1881) and Er at (0.1615, 0.1615, 0.4227).

As for the total energy: -4.216 eV per atom. The density of states at the Fermi level comes out at 15.64 states/eV/f.u.


An optimized crystal structure of La5Tb4Er2, computed with PBE-GGA.

The space group is C2/m (No. 12) and the conventional cell measures 17.8650, 3.5727 and 11.7587 Å, with angles of 90.00, 93.91 and 90.00 degrees. The distinct sites, in fractional coordinates, are La at (0.0000, 0.0000, 0.0000), La at (0.0969, 0.5000, 0.5359), La at (0.1771, 0.5000, 0.0737), Tb at (0.0371, 0.5000, 0.2629), Tb at (0.1409, 0.0000, 0.7972) and Er at (0.2156, 0.0000, 0.3525).

For the energy relative to the lowest polymorph listed for this composition, the calculation gives 0.000 eV per atom. The density of states at the Fermi level comes out at 15.87 states/eV/f.u.


Q: What is the formula in the third record?
A: LaTb6Er4